Entry 1:
The following is a GGA-PBE calculation of a relaxed structure of KTlPb2, from the Alexandria database.

a = 5.698 Å, b = 5.698 Å, c = 5.698 Å
α = 60.00°, β = 60.00°, γ = 60.00°
Positions (direct):
K 0.000 0.000 0.000
Tl 0.500 0.500 0.500
Pb 0.250 0.250 0.250
Pb 0.750 0.750 0.750

Distance to the lowest polymorph of the same formula in eV/f.u.: 0.41
Energy of formation from the pure elements in eV/atom: 0.006
Total energy in eV/atom: -2.7140



Entry 2:
The following is a GGA-PBE calculation of a relaxed structure of KTl6Pb6, from the Alexandria database.

a = 6.704 Å, b = 6.704 Å, c = 11.166 Å
α = 90.00°, β = 90.00°, γ = 119.73°
Positions (direct):
K 0.000 0.000 0.000
Tl 0.000 0.000 0.355
Tl 0.000 0.000 0.645
Tl 0.326 0.674 0.500
Tl 0.339 0.661 0.000
Tl 0.661 0.339 0.000
Tl 0.674 0.326 0.500
Pb 0.000 0.500 0.243
Pb 0.000 0.500 0.757
Pb 0.500 0.000 0.243
Pb 0.500 0.000 0.757
Pb 0.500 0.500 0.251
Pb 0.500 0.500 0.749

Distance to the lowest polymorph of the same formula in eV/f.u.: 0.00
Energy of formation from the pure elements in eV/atom: -0.013
Total energy in eV/atom: -2.9011



Entry 3:
The following is a GGA-PBE calculation of a relaxed structure of KTl2Pb, from the Alexandria database.

a = 5.521 Å, b = 5.521 Å, c = 4.341 Å
α = 90.00°, β = 90.00°, γ = 90.00°
Positions (direct):
K 0.000 0.000 0.000
Tl 0.000 0.500 0.500
Tl 0.500 0.000 0.500
Pb 0.500 0.500 0.000

Energy of formation from the pure elements in eV/atom: -0.025
Total energy in eV/atom: -2.4093



Entry 4:
The following is a GGA-PBE calculation of a relaxed structure of K3Tl5Pb2, from the Alexandria database.

a = 10.821 Å, b = 10.821 Å, c = 10.821 Å
α = 103.89°, β = 90.39°, γ = 138.87°
Positions (direct):
K 0.125 0.735 0.860
K 0.250 0.250 0.000
K 0.375 0.235 0.609
K 0.625 0.765 0.391
K 0.750 0.750 0.000
K 0.875 0.265 0.140
Tl 0.000 0.250 0.750
Tl 0.000 0.750 0.250
Tl 0.129 0.368 0.497
Tl 0.250 0.750 0.500
Tl 0.371 0.868 0.239
Tl 0.500 0.250 0.250
Tl 0.500 0.750 0.750
Tl 0.629 0.132 0.761
Tl 0.750 0.250 0.500
Tl 0.871 0.632 0.503
Pb 0.145 0.144 0.288
Pb 0.355 0.644 0.999
Pb 0.645 0.356 0.001
Pb 0.855 0.856 0.712

Distance to the lowest polymorph of the same formula in eV/f.u.: 0.48
Energy of formation from the pure elements in eV/atom: -0.037
Total energy in eV/atom: -2.2909



Entry 5:
The following is a GGA-PBE calculation of a relaxed structure of KTmTlPb, from the Alexandria database.

a = 5.586 Å, b = 5.586 Å, c = 5.586 Å
α = 60.00°, β = 60.00°, γ = 60.00°
Positions (direct):
K 0.000 0.000 0.000
Tm 0.500 0.500 0.500
Tl 0.750 0.750 0.750
Pb 0.250 0.250 0.250

Energy of formation from the pure elements in eV/atom: -0.079
Total energy in eV/atom: -2.9896



Entry 6:
The following is a GGA-PBE calculation of a relaxed structure of K2Tl6ZnPb, from the Alexandria database.

a = 14.624 Å, b = 14.624 Å, c = 14.624 Å
α = 30.66°, β = 30.66°, γ = 30.66°
Positions (direct):
K 0.103 0.103 0.103
K 0.276 0.276 0.276
K 0.724 0.724 0.724
K 0.897 0.897 0.897
Tl 0.086 0.663 0.663
Tl 0.219 0.219 0.642
Tl 0.219 0.642 0.219
Tl 0.337 0.337 0.914
Tl 0.337 0.914 0.337
Tl 0.358 0.781 0.781
Tl 0.642 0.219 0.219
Tl 0.663 0.086 0.663
Tl 0.663 0.663 0.086
Tl 0.781 0.358 0.781
Tl 0.781 0.781 0.358
Tl 0.914 0.337 0.337
Zn 0.000 0.000 0.000
Zn 0.500 0.500 0.500
Pb 0.425 0.425 0.425
Pb 0.575 0.575 0.575

Energy of formation from the pure elements in eV/atom: 0.014
Total energy in eV/atom: -2.1234



Entry 7:
The following is a GGA-PBE calculation of a relaxed structure of KTm2Pb3, from the Alexandria database.

a = 3.974 Å, b = 3.974 Å, c = 11.904 Å
α = 90.00°, β = 90.00°, γ = 90.00°
Positions (direct):
K 0.000 0.000 0.000
Tm 0.000 0.000 0.351
Tm 0.000 0.000 0.649
Pb 0.500 0.500 0.210
Pb 0.500 0.500 0.500
Pb 0.500 0.500 0.790

Energy of formation from the pure elements in eV/atom: -0.288
Total energy in eV/atom: -3.8151



Entry 8:
The following is a GGA-PBE calculation of a relaxed structure of KTmPb, from the Alexandria database.

a = 14.243 Å, b = 14.243 Å, c = 14.243 Å
α = 163.00°, β = 163.00°, γ = 24.13°
Positions (direct):
K 0.081 0.081 0.000
K 0.919 0.919 0.000
Tm 0.214 0.214 0.000
Tm 0.786 0.786 0.000
Pb 0.328 0.328 0.000
Pb 0.672 0.672 0.000

Distance to the lowest polymorph of the same formula in eV/f.u.: 0.00
Energy of formation from the pure elements in eV/atom: -0.205
Total energy in eV/atom: -3.2973



Entry 9:
The following is a GGA-PBE calculation of a relaxed structure of KTmPb, from the Alexandria database.

a = 10.721 Å, b = 10.721 Å, c = 10.721 Å
α = 28.31°, β = 28.31°, γ = 28.31°
Positions (direct):
K 0.125 0.125 0.125
K 0.875 0.875 0.875
Tm 0.298 0.298 0.298
Tm 0.702 0.702 0.702
Pb 0.398 0.398 0.398
Pb 0.602 0.602 0.602

Distance to the lowest polymorph of the same formula in eV/f.u.: 0.26
Energy of formation from the pure elements in eV/atom: -0.117
Total energy in eV/atom: -3.2094



Entry 10:
The following is a GGA-PBE calculation of a relaxed structure of KTmPb4, from the Alexandria database.

a = 6.527 Å, b = 6.527 Å, c = 6.527 Å
α = 60.00°, β = 60.00°, γ = 60.00°
Positions (direct):
K 0.000 0.000 0.000
Tm 0.750 0.750 0.750
Pb 0.376 0.376 0.376
Pb 0.376 0.376 0.872
Pb 0.376 0.872 0.376
Pb 0.872 0.376 0.376

Energy of formation from the pure elements in eV/atom: -0.062
Total energy in eV/atom: -3.4625



Entry 11:
The following is a GGA-PBE calculation of a relaxed structure of KVPb2, from the Alexandria database.

a = 9.792 Å, b = 9.792 Å, c = 9.792 Å
α = 142.44°, β = 142.44°, γ = 54.17°
Positions (direct):
K 0.000 0.000 0.000
K 0.750 0.250 0.500
V 0.250 0.750 0.500
V 0.500 0.500 0.000
Pb 0.366 0.625 0.241
Pb 0.375 0.616 0.741
Pb 0.384 0.125 0.759
Pb 0.875 0.634 0.259

Distance to the lowest polymorph of the same formula in eV/f.u.: 0.27
Energy of formation from the pure elements in eV/atom: 0.510
Total energy in eV/atom: -3.8983



Entry 12:
The following is a GGA-PBE calculation of a relaxed structure of K3VPb, from the Alexandria database.

a = 6.736 Å, b = 6.736 Å, c = 6.736 Å
α = 90.00°, β = 90.00°, γ = 90.00°
Positions (direct):
K 0.000 0.000 0.500
K 0.000 0.500 0.000
K 0.500 0.000 0.000
V 0.500 0.500 0.500
Pb 0.000 0.000 0.000

Distance to the lowest polymorph of the same formula in eV/f.u.: 0.00
Energy of formation from the pure elements in eV/atom: 0.957
Total energy in eV/atom: -2.2666



Entry 13:
The following is a GGA-PBE calculation of a relaxed structure of KVPb2, from the Alexandria database.

a = 5.339 Å, b = 5.339 Å, c = 5.339 Å
α = 60.00°, β = 60.00°, γ = 60.00°
Positions (direct):
K 0.000 0.000 0.000
V 0.500 0.500 0.500
Pb 0.250 0.250 0.250
Pb 0.750 0.750 0.750

Distance to the lowest polymorph of the same formula in eV/f.u.: 0.00
Energy of formation from the pure elements in eV/atom: 0.443
Total energy in eV/atom: -3.9653



Entry 14:
The following is a GGA-PBE calculation of a relaxed structure of KVZnPb2, from the Alexandria database.

a = 5.288 Å, b = 5.288 Å, c = 5.184 Å
α = 90.00°, β = 90.00°, γ = 90.00°
Positions (direct):
K 0.000 0.000 0.000
V 0.500 0.500 0.500
Zn 0.500 0.500 0.000
Pb 0.000 0.500 0.500
Pb 0.500 0.000 0.500

Energy of formation from the pure elements in eV/atom: 0.224
Total energy in eV/atom: -3.5576



Entry 15:
The following is a GGA-PBE calculation of a relaxed structure of K2PbW, from the Alexandria database.

a = 3.819 Å, b = 3.819 Å, c = 10.311 Å
α = 90.00°, β = 90.00°, γ = 90.00°
Positions (direct):
K 0.000 0.000 0.000
K 0.500 0.500 0.402
Pb 0.000 0.000 0.668
W 0.500 0.500 0.737

Energy of formation from the pure elements in eV/atom: 0.952
Total energy in eV/atom: -3.7622



Entry 16:
The following is a GGA-PBE calculation of a relaxed structure of KPbW2, from the Alexandria database.

a = 6.339 Å, b = 6.339 Å, c = 2.821 Å
α = 101.48°, β = 101.48°, γ = 123.36°
Positions (direct):
K 0.000 0.000 0.000
Pb 0.500 0.500 0.000
W 0.000 0.500 0.500
W 0.500 0.000 0.500

Energy of formation from the pure elements in eV/atom: 1.532
Total energy in eV/atom: -6.1461



Entry 17:
The following is a GGA-PBE calculation of a relaxed structure of KPb2W, from the Alexandria database.

a = 4.524 Å, b = 4.524 Å, c = 8.751 Å
α = 95.45°, β = 95.45°, γ = 39.70°
Positions (direct):
K 0.000 0.000 0.000
Pb 0.239 0.239 0.698
Pb 0.761 0.761 0.302
W 0.500 0.500 0.500

Distance to the lowest polymorph of the same formula in eV/f.u.: 0.58
Energy of formation from the pure elements in eV/atom: 0.693
Total energy in eV/atom: -4.6739



Entry 18:
The following is a GGA-PBE calculation of a relaxed structure of KPb2W, from the Alexandria database.

a = 5.471 Å, b = 5.471 Å, c = 5.471 Å
α = 60.00°, β = 60.00°, γ = 60.00°
Positions (direct):
K 0.000 0.000 0.000
Pb 0.500 0.500 0.500
Pb 0.750 0.750 0.750
W 0.250 0.250 0.250

Distance to the lowest polymorph of the same formula in eV/f.u.: 2.86
Energy of formation from the pure elements in eV/atom: 1.262
Total energy in eV/atom: -4.1049



Entry 19:
The following is a GGA-PBE calculation of a relaxed structure of KPbW2, from the Alexandria database.

a = 5.837 Å, b = 5.837 Å, c = 5.837 Å
α = 138.70°, β = 138.70°, γ = 59.83°
Positions (direct):
K 0.000 0.000 0.000
Pb 0.500 0.500 0.000
W 0.250 0.750 0.500
W 0.750 0.250 0.500

Energy of formation from the pure elements in eV/atom: 1.732
Total energy in eV/atom: -5.9457



Entry 20:
The following is a GGA-PBE calculation of a relaxed structure of K2PbW, from the Alexandria database.

a = 6.739 Å, b = 6.739 Å, c = 3.079 Å
α = 94.49°, β = 94.49°, γ = 127.79°
Positions (direct):
K 0.000 0.500 0.000
K 0.500 0.000 0.000
Pb 0.000 0.000 0.500
W 0.500 0.500 0.500

Energy of formation from the pure elements in eV/atom: 1.187
Total energy in eV/atom: -3.5276